(1)
DFT (SCAN) results for a crystal of Li3Ni2OF5 relaxed with PBEsol.

The structure in POSCAR format:
```
Li3Ni2OF5
1.0
-0.5458 0.1864 -4.9878
4.7121 -1.2813 1.1685
-4.3254 -7.7578 1.8447
F Ni Li O
10 4 6 2
Cartesian
0.6050 -1.6368 -1.0848
-0.1786 -5.8835 1.4867
-2.8006 -5.1516 -1.5730
0.0245 -2.9706 -3.4659
0.7152 -0.1656 -3.5114
-0.9342 -7.1685 -1.0890
2.6365 -3.6998 -0.3971
2.8155 -2.2205 -2.7561
-2.8045 -6.6797 0.9806
3.4511 -0.9293 -0.3079
-1.3940 -4.0595 -2.5264
-1.4636 -5.4213 -0.0424
1.3045 -3.4315 -1.9322
0.0000 0.0000 0.0000
-0.5964 -1.1052 -2.5033
1.2349 -4.7933 0.5518
2.0831 -0.5475 -1.9096
-0.7448 -2.7587 -0.0216
-2.1916 -7.0138 -2.5495
0.5857 -6.0940 -1.9530
-0.1376 -4.4102 -1.0553
-2.6504 -3.7088 -3.9975
```

## Properties
As for the mass density: 4.06 g cm⁻³. The uncorrected formation energy is -2631 kJ/mol of formula units. The energy is -181.44 eV for the cell shown. As for the magnetic moment: 3.999 μB/f.u.

(2)
DFT (SCAN) results for a crystal of LiNi7O7F relaxed with PBEsol.

The structure in POSCAR format:
```
LiNi7O7F
1.0
-2.5023 -0.3021 -1.4441
-1.6891 -3.1148 3.5782
-3.0893 8.3850 3.5991
Ni O Li F
7 7 1 1
Cartesian
-4.3297 8.1452 2.8770
-3.2114 1.0200 5.3512
-3.9798 5.3214 2.8614
-1.2399 1.2926 1.8781
-3.9048 6.8557 5.3320
-3.5742 3.9276 5.3717
-3.6431 2.4416 2.8803
-5.0327 5.2558 4.6994
-2.2277 -0.2511 0.9909
-4.6631 2.3415 4.6687
-2.2369 1.2639 3.6117
-2.8915 6.9054 3.5659
-2.5640 4.0720 3.5911
-2.6390 2.5722 1.1131
-3.3222 -0.2807 2.8936
-1.8652 -1.5445 3.5549
```

## Properties
As for the mass density: 6.56 g cm⁻³. The uncorrected formation energy is -2279 kJ/mol of formula units. The energy is -186.38 eV for the cell shown. As for the magnetic moment: 1.995 μB/f.u.

(3)
DFT (SCAN) results for a crystal of Li3NiO2F2 relaxed with PBEsol.

The structure in POSCAR format:
```
Li3NiO2F2
1.0
4.8885 0.0092 0.0000
-1.4924 4.6830 0.0000
0.0000 0.0000 5.7712
O Li Ni F
4 6 2 4
Cartesian
-1.0162 3.4121 0.6495
4.4123 1.2801 5.1217
1.9680 1.2755 0.6495
1.4281 3.4167 5.1217
3.6664 0.0069 3.6781
1.2221 0.0023 5.0855
0.4759 2.3438 3.6576
1.2221 0.0023 2.0931
3.6664 0.0069 0.6857
2.9202 2.3484 2.1136
0.4759 2.3438 0.6381
2.9202 2.3484 5.1331
1.3166 3.5272 2.1931
-0.3648 1.1604 2.1931
2.0794 1.1650 3.5781
3.7609 3.5318 3.5781
```

## Properties
As for the mass density: 3.76 g cm⁻³. The uncorrected formation energy is -1782 kJ/mol of formula units. The energy is -122.72 eV for the cell shown. As for the magnetic moment: 1.000 μB/f.u.

(4)
DFT (SCAN) results for a crystal of Li5NiO3F relaxed with PBEsol.

The structure in POSCAR format:
```
Li5NiO3F
1.0
-2.2583 3.6629 -1.7968
-5.6686 -0.7126 2.8983
1.5283 4.4404 4.3576
O Li Ni F
6 10 2 2
Cartesian
-2.6394 4.4844 5.2219
-4.7378 2.9819 4.7965
-3.7592 2.9063 0.2372
-0.6077 5.5509 3.2551
-1.6608 4.4088 0.6627
-5.7909 1.8398 2.2041
-0.7123 4.3735 4.7824
-5.5072 3.5197 3.1451
-2.4830 5.6850 3.7583
-0.8914 3.8710 2.3141
-5.6863 3.0172 0.6768
-2.9103 2.8117 4.4247
-1.3242 6.1404 1.5613
-3.9155 1.7058 1.7009
-3.4883 4.5790 1.0345
-5.0743 1.2503 3.8979
-4.4566 4.6236 5.6529
-1.9419 2.7671 -0.1937
-3.1310 1.1043 3.4129
-1.0093 2.6235 3.8431
```

## Properties
For the density of states at the Fermi level, the calculation gives 0.000 states/eV per atom. As for the mass density: 2.86 g cm⁻³. The uncorrected formation energy is -1985 kJ/mol of formula units. The energy is -141.86 eV for the cell shown. As for the magnetic moment: 0.002 μB/f.u.

(5)
DFT (SCAN) results for a crystal of Li8NiO5F relaxed with PBEsol.

The structure in POSCAR format:
```
Li8NiO5F
1.0
-3.3280 -3.5656 -2.4961
5.2544 -1.2947 0.8572
-2.6034 -4.2489 9.5406
Li Ni O F
16 2 10 2
Cartesian
0.9113 -4.4709 5.1716
2.9800 -4.1682 3.5579
0.3015 -4.6582 2.6087
-1.6496 -5.5463 7.7524
3.0593 -1.9590 2.7277
-0.6397 -6.5075 5.7642
-1.9920 -5.2972 4.2095
-2.8251 -4.2336 6.1806
-3.6203 -6.9609 4.7490
-2.2882 -8.0463 6.4648
0.0787 -2.4124 1.7124
0.9401 -2.1583 3.8963
2.2641 -4.6863 1.2961
2.1705 -2.4157 0.5569
-0.6478 -3.1034 -0.7165
-4.3281 -6.0364 6.8033
-1.3345 -2.1780 4.8905
-0.0328 -0.0535 0.1202
-0.8559 -1.3969 3.1366
-2.5178 -6.1553 6.1364
-2.3839 -2.6379 -1.1880
0.0900 -4.6599 -1.4134
-0.1309 -5.6336 4.1642
2.7353 -4.7929 5.3208
0.4823 -1.7971 -0.0314
0.2614 -2.7708 5.5463
1.6447 -3.2739 2.4839
-2.1576 -3.5213 7.9069
-1.2300 -4.0536 1.4171
0.3291 -5.4210 7.3051
```

## Properties
The value obtained for the energy above the lowest structure with this stoichiometry is 10 meV/atom. For the density of states at the Fermi level, the calculation gives 0.000 states/eV per atom. As for the mass density: 2.53 g cm⁻³. The uncorrected formation energy is -2914 kJ/mol of formula units. The energy is -200.37 eV for the cell shown. As for the magnetic moment: 2.956 μB/f.u.

(6)
DFT (SCAN) results for a crystal of Li3Ni2P2O8F2 relaxed with PBEsol.

The structure in POSCAR format:
```
Li3Ni2P2O8F2
1.0
-0.7793 -5.6576 2.2642
10.2437 -1.7820 -0.9271
1.5253 3.6030 9.9275
P O Li Ni F
8 32 12 8 8
Cartesian
1.9838 -4.3385 2.1755
0.9370 -1.6376 9.0077
7.6269 -4.0889 5.2779
10.0527 -2.1990 2.2569
6.0871 -2.4715 8.7454
3.3629 0.2523 5.9867
9.0059 0.5019 9.0891
4.9027 -1.3651 2.5191
0.6633 0.8727 3.3091
3.4165 -1.1467 2.6725
9.5527 -0.5308 10.1149
5.5762 -0.5311 1.3874
2.4130 -1.9345 8.8930
9.1805 -4.1714 5.5588
3.4011 -4.7729 1.6257
9.8257 1.8357 9.1828
1.4371 -3.3057 1.1497
7.2591 -4.5996 3.9097
7.5732 -2.6899 8.5920
7.3310 -2.5610 5.4726
6.9534 -4.9094 6.4142
8.9368 -0.0607 7.6938
5.7498 -0.9746 8.9783
5.7111 -0.9795 3.8335
10.7905 -2.8255 9.5034
7.5886 0.9363 9.6389
10.6393 -2.3743 7.0588
0.1992 -1.0110 1.7611
10.3264 -4.7092 7.9555
3.6588 -1.2756 5.7920
3.7306 0.7630 7.3549
8.5767 -1.9021 2.3716
5.2399 -2.8620 2.2862
5.4136 -3.3055 9.8771
1.8092 0.3348 5.7057
5.2786 -2.8570 7.4310
4.0364 1.0728 4.8504
0.3504 -1.4623 4.2058
1.1640 -5.6723 2.0818
2.0529 -3.7758 3.5707
5.4027 -4.3426 3.4395
7.8070 -0.7434 1.0069
2.5535 -2.0214 4.1850
7.8589 -1.2463 4.0489
8.7499 -2.3636 10.0979
8.4362 -1.8152 7.0795
3.1827 -3.0932 10.2577
3.1308 -2.5903 7.2156
10.6599 -0.4264 6.8996
0.3299 -3.4102 4.3650
5.5870 0.5060 7.8251
2.2398 -1.4729 1.1667
-0.3896 -2.8288 1.1321
4.7322 -3.7198 0.6685
5.8845 0.9105 4.5002
0.3730 -1.0273 6.0958
5.1219 -0.8910 -0.4636
5.4949 -1.9183 5.6323
0.0000 0.0000 0.0000
0.7626 1.8015 4.9638
5.1583 1.4679 9.8950
9.5799 -1.1259 4.9663
6.2115 -0.1554 6.1765
4.7782 -3.6812 5.0881
1.5034 1.7192 9.3205
5.8314 -5.3045 1.3696
9.4864 -5.5558 1.9441
1.4099 -2.7107 6.2982
```

## Properties
For the density of states at the Fermi level, the calculation gives 0.118 states/eV per atom. As for the mass density: 3.55 g cm⁻³. The uncorrected formation energy is -3832 kJ/mol of formula units. The energy is -627.82 eV for the cell shown. As for the magnetic moment: 2.999 μB/f.u.

(7)
DFT (SCAN) results for a crystal of Li2NiPO4F relaxed with PBEsol.

The structure in POSCAR format:
```
Li2NiPO4F
1.0
5.2598 0.0239 -0.0248
-0.4080 5.2435 -0.0857
-2.3240 -2.4471 6.4551
Li F O Ni P
4 2 8 2 2
Cartesian
0.6838 -0.9395 5.5355
2.3531 0.8558 4.2999
0.0904 2.5515 0.4534
1.0888 3.6619 2.8824
-0.3184 3.9434 1.6582
2.7016 -1.1313 4.9301
3.9757 1.3136 0.8726
-1.5438 1.4192 5.6468
2.5314 2.3519 2.7091
-0.0367 0.2761 4.0112
2.6452 -0.1121 2.5201
-0.1800 2.8824 4.1384
1.5129 1.2238 0.6575
1.0639 1.4904 5.8024
-0.0210 -0.0430 0.1397
-1.5991 3.9673 3.2468
2.6717 1.1893 1.6899
-0.1935 1.5349 4.8995
```

## Properties
For the density of states at the Fermi level, the calculation gives 0.000 states/eV per atom. As for the mass density: 3.51 g cm⁻³. The uncorrected formation energy is -2108 kJ/mol of formula units. The energy is -163.32 eV for the cell shown. As for the magnetic moment: 1.981 μB/f.u.

(8)
DFT (SCAN) results for a crystal of LiNiSO4F relaxed with PBEsol.

The structure in POSCAR format:
```
LiNiSO4F
1.0
5.0987 -0.0823 -0.0143
-0.7611 5.2847 -0.0040
-2.1833 -2.3976 6.3069
O F S Li Ni
8 2 2 2 2
Cartesian
1.5587 2.9832 2.6976
1.5285 -1.1037 5.6650
-0.7850 2.6215 2.1429
1.0160 1.5299 0.9017
0.6258 3.9085 0.6237
2.9393 0.1833 4.1458
1.1382 1.2749 5.3870
0.5956 -0.1784 3.5911
3.8606 -0.2338 1.5008
-1.7064 3.0387 4.7878
1.5588 0.0199 4.6876
0.5955 2.7849 1.6011
2.9464 1.3145 1.2756
-0.7922 1.4903 5.0130
0.0000 0.0000 0.0000
-1.0916 -1.1988 3.1535
```

## Properties
For the density of states at the Fermi level, the calculation gives 0.000 states/eV per atom. As for the mass density: 3.54 g cm⁻³. The uncorrected formation energy is -1503 kJ/mol of formula units. The energy is -144.47 eV for the cell shown. As for the magnetic moment: 2.004 μB/f.u.

(9)
DFT (SCAN) results for a crystal of Rb2LiNiF6 relaxed with PBEsol.

The structure in POSCAR format:
```
Rb2LiNiF6
1.0
5.7072 0.0000 0.0000
2.8536 4.9426 0.0000
2.8536 1.6475 4.6599
F Rb Li Ni
6 2 1 1
Cartesian
5.7072 1.7481 1.2361
5.7072 4.8421 3.4239
4.3675 2.5216 3.4239
7.0470 2.5216 3.4239
7.0470 4.0686 1.2361
4.3675 4.0686 1.2361
8.5608 4.9426 3.4949
2.8536 1.6475 1.1650
0.0000 0.0000 0.0000
5.7072 3.2951 2.3300
```

## Properties
For the density of states at the Fermi level, the calculation gives 0.492 states/eV per atom. As for the mass density: 4.43 g cm⁻³. The uncorrected formation energy is -2581 kJ/mol of formula units. The energy is -108.03 eV for the cell shown. As for the magnetic moment: 1.000 μB/f.u.

(10)
DFT (SCAN) results for a crystal of LiRe2NiF relaxed with PBEsol.

The structure in POSCAR format:
```
LiRe2NiF
1.0
-3.8174 0.9502 0.4961
-1.0119 -3.8000 -0.5077
0.3889 -0.6764 4.2877
F Re Li Ni
1 2 1 1
Cartesian
0.0000 0.0000 0.0000
-1.9087 0.4751 0.2481
-0.5059 -1.9000 -0.2538
-2.2202 -1.7631 2.1381
0.1945 -0.3382 2.1438
```

## Properties
For the density of states at the Fermi level, the calculation gives 0.674 states/eV per atom. As for the mass density: 11.08 g cm⁻³. The uncorrected formation energy is 579 kJ/mol of formula units. The energy is -158.30 eV for the cell shown. As for the magnetic moment: 0.000 μB/f.u.

(11)
DFT (SCAN) results for a crystal of LiNiRhF6 relaxed with PBEsol.

The structure in POSCAR format:
```
LiNiRhF6
1.0
-1.8431 3.8364 -1.7748
-3.6017 -2.4388 -1.5312
-4.3940 1.5375 7.8868
F Rh Li Ni
12 2 2 2
Cartesian
-5.8532 3.8830 4.8495
-6.9194 0.0787 4.9971
-3.1173 0.9369 1.6307
-6.7242 1.9992 2.9578
-2.9230 2.8592 -0.4094
-6.0565 1.9638 6.8663
-3.9899 -0.9480 -0.2616
-5.2613 1.4872 0.3290
-4.3764 3.3873 2.2076
-4.5828 1.4496 4.2580
-5.4533 -0.4554 2.3567
-8.1671 2.5056 5.5848
-1.4591 0.5106 2.6190
-6.3786 1.9781 4.9094
-4.3898 1.5361 7.8792
-4.9152 1.4661 2.2828
-2.9406 1.0290 5.2781
-3.4660 0.9590 -0.3183
```

## Properties
For the density of states at the Fermi level, the calculation gives 0.000 states/eV per atom. As for the mass density: 4.82 g cm⁻³. The uncorrected formation energy is -2001 kJ/mol of formula units. The energy is -188.62 eV for the cell shown. As for the magnetic moment: 2.068 μB/f.u.

(12)
DFT (SCAN) results for a crystal of SrLiNiF6 relaxed with PBEsol.

The structure in POSCAR format:
```
SrLiNiF6
1.0
-2.6923 -3.9355 1.8002
4.6147 -0.7798 -2.0182
4.2888 1.3187 9.2968
Sr F Li Ni
2 12 2 2
Cartesian
2.1444 0.6593 4.6484
0.0000 0.0000 0.0000
0.8538 -4.1472 1.8698
1.2625 -1.5796 1.3171
7.2168 -1.0509 6.6067
5.6749 0.2726 4.7500
5.6213 -2.3550 5.1474
4.9487 -1.8170 7.7617
-1.0056 -2.3457 2.4720
0.5363 -3.6692 4.3288
5.3574 0.7506 7.2089
3.5548 -0.8564 5.8882
0.5899 -1.0416 3.9313
2.6564 -2.5402 3.1906
3.2513 -1.5020 1.5788
2.9600 -1.8946 7.5000
0.8156 -2.5539 2.8516
5.3956 -0.8427 6.2272
```

## Properties
For the density of states at the Fermi level, the calculation gives 0.719 states/eV per atom. As for the mass density: 3.82 g cm⁻³. The uncorrected formation energy is -2581 kJ/mol of formula units. The energy is -177.67 eV for the cell shown. As for the magnetic moment: 1.000 μB/f.u.

Question: Number 6 is which compound?
Answer: Li3Ni2P2O8F2

Question: Which of these has the highest magnetic moment?
Answer: Li3Ni2OF5